[1]
Density functional theory data (PBE-GGA) for an optimized crystal structure of SrHfIn2B.

```
SrHfIn2B
1.0
7.146 0.000 0.000
0.000 7.485 0.000
0.000 0.000 7.146
Sr Hf In B
1 1 2 1
Cartesian
0.000 0.000 0.000
0.000 3.743 0.000
3.573 0.000 0.000
0.000 0.000 3.573
3.573 3.743 3.573
```

Values from the calculation:
Volume ... 382 Å³/cell
Theoretical density ... 2.2 Mg/m³
Energy of formation ... 2.723 eV/atom

***

[2]
Density functional theory data (PBE-GGA) for an optimized crystal structure of AcCeSbCl.

```
AcCeSbCl
1.0
-4.181 -2.915 -2.059
-3.833 -2.058 3.360
-5.078 2.105 -0.007
Ac Ce Cl Sb
1 1 1 1
Cartesian
-9.819 -2.150 0.971
-3.273 -0.717 0.324
-6.546 -1.434 0.647
0.000 0.000 0.000
```

Values from the calculation:
Volume ... 117 Å³/cell
Uncorrected formation energy ... -1.15 eV/atom
Theoretical density ... 7.4 Mg/m³

***

[3]
Density functional theory data (PBE-GGA) for an optimized crystal structure of BaBi2PtBr.

```
BaBi2PtBr
1.0
-5.679 1.180 0.550
0.393 -0.432 4.988
1.219 5.684 0.396
Pt Ba Bi Br
1 1 2 1
Cartesian
0.197 -0.216 2.494
-2.034 3.216 2.967
0.609 2.842 0.198
-2.840 0.590 0.275
0.000 0.000 0.000
```

Values from the calculation:
Volume ... 171 Å³/cell
Uncorrected formation energy ... 0.18 eV/atom
Theoretical density ... 8.1 Mg/m³

***

[4]
Density functional theory data (PBE-GGA) for an optimized crystal structure of BeMo2W.

```
BeMo2W
1.0
-2.300 4.035 -2.001
-0.960 2.375 -4.361
-3.868 -0.766 -1.659
W Be Mo
1 1 2
Cartesian
-3.566 2.789 -3.988
-1.783 1.409 -2.004
-3.866 -0.728 -1.684
-5.347 4.231 -6.014
```

Values from the calculation:
Volume ... 59 Å³/cell
Theoretical density ... 10.9 Mg/m³
Energy of formation ... 0.180 eV/atom